{
  "formula": "Cu2Br2N",
  "functional": "meta-GGA SCAN",
  "state": "single point on PBEsol structure",
  "dos_ef_per_ev_cell": 0.789,
  "space_group": "I4/mmm (139)",
  "magnetic_moment_mub_per_fu": 3.0,
  "total_energy_ev_per_atom": -15.258,
  "cell": [[-2.429, 2.429, 5.322], [2.429, -2.429, 5.322], [2.429, 2.429, -5.322]],
  "species": ["Cu", "Cu", "Br", "Br", "N"],
  "frac_coords": [[0.167, 0.167, 0.000], [0.833, 0.833, 0.000], [0.250, 0.750, 0.500], [0.750, 0.250, 0.500], [0.000, 0.000, 0.000]]
}



{
  "formula": "PIr2Os",
  "functional": "meta-GGA SCAN",
  "state": "single point on PBEsol structure",
  "dos_ef_per_ev_cell": 1.686,
  "space_group": "Imm2 (44)",
  "magnetic_moment_mub_per_fu": 0.0,
  "e_form_ev_per_atom": 0.052,
  "cell": [[-1.397, 2.091, 4.683], [1.397, -2.091, 4.683], [1.397, 2.091, -4.683]],
  "species": ["P", "Ir", "Ir", "Os"],
  "frac_coords": [[0.000, 0.000, 0.000], [0.205, 0.705, 0.500], [0.510, 0.510, 0.000], [0.801, 0.301, 0.500]]
}



{
  "formula": "CuRe3Ni",
  "functional": "meta-GGA SCAN",
  "state": "single point on PBEsol structure",
  "dos_ef_per_ev_cell": 4.303,
  "space_group": "Pm-3m (221)",
  "magnetic_moment_mub_per_fu": 0.0,
  "e_form_ev_per_atom": 2.055,
  "cell": [[4.343, 0.000, 0.000], [0.000, 4.343, 0.000], [0.000, 0.000, 4.343]],
  "species": ["Cu", "Re", "Re", "Re", "Ni"],
  "frac_coords": [[0.000, 0.000, 0.000], [0.000, 0.500, 0.500], [0.500, 0.000, 0.500], [0.500, 0.500, 0.000], [0.500, 0.500, 0.500]]
}



{
  "formula": "Hg3W",
  "functional": "meta-GGA SCAN",
  "state": "single point on PBEsol structure",
  "relative_energy_mev_per_atom": 159.0,
  "dos_ef_per_ev_cell": 1.953,
  "space_group": "P2/m (10)",
  "magnetic_moment_mub_per_fu": 0.0,
  "e_form_ev_per_atom": 0.855,
  "cell": [[2.902, 0.000, 0.000], [0.000, 4.982, 0.000], [-0.135, 0.000, 5.340]],
  "species": ["Hg", "Hg", "Hg", "W"],
  "frac_coords": [[0.000, 0.000, 0.000], [0.234, 0.500, 0.737], [0.766, 0.500, 0.263], [0.500, 0.000, 0.500]]
}



{
  "formula": "CdAg2P",
  "functional": "meta-GGA SCAN",
  "state": "single point on PBEsol structure",
  "relative_energy_mev_per_atom": 0.0,
  "dos_ef_per_ev_cell": 1.406,
  "space_group": "I-4m2 (119)",
  "magnetic_moment_mub_per_fu": 0.0,
  "e_form_ev_per_atom": 0.191,
  "cell": [[-2.011, 2.011, 4.208], [2.011, -2.011, 4.208], [2.011, 2.011, -4.208]],
  "species": ["Cd", "Ag", "Ag", "P"],
  "frac_coords": [[0.000, 0.000, 0.000], [0.250, 0.750, 0.500], [0.500, 0.500, 0.000], [0.750, 0.250, 0.500]]
}



{
  "formula": "YMn2Si",
  "functional": "meta-GGA SCAN",
  "state": "single point on PBEsol structure",
  "dos_ef_per_ev_cell": 2.206,
  "space_group": "R3m (160)",
  "magnetic_moment_mub_per_fu": 0.7,
  "total_energy_ev_per_atom": -18.991,
  "cell": [[1.922, 1.110, 5.040], [-1.922, 1.110, 5.040], [0.000, -2.219, 5.040]],
  "species": ["Y", "Mn", "Mn", "Si"],
  "frac_coords": [[0.000, 0.000, 0.000], [0.201, 0.201, 0.201], [0.510, 0.510, 0.510], [0.797, 0.797, 0.797]]
}



{
  "formula": "PtAu3",
  "functional": "meta-GGA SCAN",
  "state": "single point on PBEsol structure",
  "dos_ef_per_ev_cell": 1.623,
  "space_group": "C2/m (12)",
  "magnetic_moment_mub_per_fu": 0.0,
  "e_form_ev_per_atom": 0.049,
  "cell": [[4.723, -1.436, 0.000], [4.723, 1.436, 0.000], [-0.896, 0.000, 4.832]],
  "species": ["Pt", "Au", "Au", "Au"],
  "frac_coords": [[0.000, 0.000, 0.000], [0.253, 0.253, 0.753], [0.500, 0.500, 0.500], [0.747, 0.747, 0.247]]
}



{
  "formula": "LaNiH2Cl",
  "functional": "meta-GGA SCAN",
  "state": "single point on PBEsol structure",
  "dos_ef_per_ev_cell": 1.537,
  "space_group": "P4/mmm (123)",
  "magnetic_moment_mub_per_fu": 0.0,
  "total_energy_ev_per_atom": -14.333,
  "cell": [[3.703, 0.000, 0.000], [0.000, 3.703, 0.000], [0.000, 0.000, 5.984]],
  "species": ["La", "Ni", "H", "H", "Cl"],
  "frac_coords": [[0.000, 0.000, 0.000], [0.500, 0.500, 0.000], [0.000, 0.500, 0.500], [0.500, 0.000, 0.500], [0.000, 0.000, 0.500]]
}



{
  "formula": "ScTeN2O",
  "functional": "meta-GGA SCAN",
  "state": "single point on PBEsol structure",
  "dos_ef_per_ev_cell": 3.229,
  "space_group": "P4/mmm (123)",
  "magnetic_moment_mub_per_fu": 1.3,
  "total_energy_ev_per_atom": -15.121,
  "cell": [[4.170, 0.000, 0.000], [0.000, 4.170, 0.000], [0.000, 0.000, 3.900]],
  "species": ["Sc", "Te", "N", "N", "O"],
  "frac_coords": [[0.000, 0.000, 0.000], [0.500, 0.500, 0.500], [0.000, 0.500, 0.000], [0.500, 0.000, 0.000], [0.000, 0.000, 0.500]]
}



{
  "formula": "KOsBr3",
  "functional": "meta-GGA SCAN",
  "state": "single point on PBEsol structure",
  "dos_ef_per_ev_cell": 10.476,
  "space_group": "Pm-3m (221)",
  "magnetic_moment_mub_per_fu": 5.9,
  "total_energy_ev_per_atom": -26.628,
  "cell": [[5.739, 0.000, 0.000], [0.000, 5.739, 0.000], [0.000, 0.000, 5.739]],
  "species": ["K", "Os", "Br", "Br", "Br"],
  "frac_coords": [[0.000, 0.000, 0.000], [0.500, 0.500, 0.500], [0.000, 0.000, 0.500], [0.000, 0.500, 0.000], [0.500, 0.000, 0.000]]
}



{
  "formula": "Nb2Zn2Br",
  "functional": "meta-GGA SCAN",
  "state": "single point on PBEsol structure",
  "dos_ef_per_ev_cell": 3.331,
  "space_group": "I4/mmm (139)",
  "magnetic_moment_mub_per_fu": 0.0,
  "total_energy_ev_per_atom": -22.093,
  "cell": [[-1.789, 1.789, 6.818], [1.789, -1.789, 6.818], [1.789, 1.789, -6.818]],
  "species": ["Nb", "Nb", "Zn", "Zn", "Br"],
  "frac_coords": [[0.096, 0.096, 0.000], [0.904, 0.904, 0.000], [0.250, 0.750, 0.500], [0.750, 0.250, 0.500], [0.500, 0.500, 0.000]]
}



{
  "formula": "P3PbI",
  "functional": "meta-GGA SCAN",
  "state": "single point on PBEsol structure",
  "relative_energy_mev_per_atom": 0.0,
  "dos_ef_per_ev_cell": 4.556,
  "space_group": "Pm-3m (221)",
  "magnetic_moment_mub_per_fu": 0.0,
  "cell": [[5.066, 0.000, 0.000], [0.000, 5.066, 0.000], [0.000, 0.000, 5.066]],
  "species": ["P", "P", "P", "Pb", "I"],
  "frac_coords": [[0.000, 0.000, 0.500], [0.000, 0.500, 0.000], [0.500, 0.000, 0.000], [0.500, 0.500, 0.500], [0.000, 0.000, 0.000]]
}



{
  "formula": "Mg2BeB",
  "functional": "meta-GGA SCAN",
  "state": "single point on PBEsol structure",
  "dos_ef_per_ev_cell": 0.750,
  "space_group": "Fm-3m (225)",
  "magnetic_moment_mub_per_fu": 0.1,
  "e_form_ev_per_atom": 0.609,
  "cell": [[0.000, 2.954, 2.954], [2.954, 0.000, 2.954], [2.954, 2.954, 0.000]],
  "species": ["Mg", "Mg", "Be", "B"],
  "frac_coords": [[0.250, 0.250, 0.250], [0.750, 0.750, 0.750], [0.000, 0.000, 0.000], [0.500, 0.500, 0.500]]
}



{
  "formula": "Mo2RhW",
  "functional": "meta-GGA SCAN",
  "state": "single point on PBEsol structure",
  "relative_energy_mev_per_atom": 0.0,
  "dos_ef_per_ev_cell": 3.891,
  "space_group": "P2/m (10)",
  "magnetic_moment_mub_per_fu": 0.0,
  "e_form_ev_per_atom": 0.078,
  "cell": [[2.676, 0.000, 0.000], [0.000, 4.394, 0.000], [-0.932, 0.000, 5.095]],
  "species": ["Mo", "Mo", "Rh", "W"],
  "frac_coords": [[0.221, 0.000, 0.252], [0.779, 0.000, 0.748], [0.500, 0.500, 0.000], [0.000, 0.500, 0.500]]
}



{
  "formula": "SmBr3",
  "functional": "meta-GGA SCAN",
  "state": "single point on PBEsol structure",
  "dos_ef_per_ev_cell": 0.000,
  "space_group": "Cmcm (63)",
  "magnetic_moment_mub_per_fu": 0.0,
  "total_energy_ev_per_atom": -27.798,
  "cell": [[1.996, -6.599, 0.000], [1.996, 6.599, 0.000], [0.000, 0.000, 8.992]],
  "species": ["Sm", "Sm", "Br", "Br", "Br", "Br", "Br", "Br"],
  "frac_coords": [[0.241, 0.759, 0.750], [0.759, 0.241, 0.250], [0.150, 0.850, 0.066], [0.150, 0.850, 0.434], [0.413, 0.587, 0.250], [0.587, 0.413, 0.750], [0.850, 0.150, 0.566], [0.850, 0.150, 0.934]]
}



{
  "formula": "CaScCd2",
  "functional": "meta-GGA SCAN",
  "state": "single point on PBEsol structure",
  "dos_ef_per_ev_cell": 2.119,
  "space_group": "Pmm2 (25)",
  "magnetic_moment_mub_per_fu": 0.0,
  "e_form_ev_per_atom": -0.401,
  "cell": [[3.552, 0.000, 0.000], [0.000, 5.129, 0.000], [0.000, 0.000, 5.130]],
  "species": ["Ca", "Sc", "Cd", "Cd"],
  "frac_coords": [[0.000, 0.000, 0.000], [0.000, 0.500, 0.495], [0.500, 0.000, 0.501], [0.500, 0.500, 0.993]]
}



{
  "formula": "BaCa2BiSb",
  "functional": "meta-GGA SCAN",
  "state": "single point on PBEsol structure",
  "dos_ef_per_ev_cell": 1.566,
  "space_group": "P4/mmm (123)",
  "magnetic_moment_mub_per_fu": 0.0,
  "total_energy_ev_per_atom": -35.339,
  "cell": [[5.762, 0.000, 0.000], [0.000, 5.762, 0.000], [0.000, 0.000, 6.427]],
  "species": ["Ba", "Ca", "Ca", "Bi", "Sb"],
  "frac_coords": [[0.000, 0.000, 0.000], [0.000, 0.500, 0.500], [0.500, 0.000, 0.500], [0.500, 0.500, 0.000], [0.500, 0.500, 0.500]]
}



{
  "formula": "Li2BiP3O10",
  "functional": "meta-GGA SCAN",
  "state": "single point on PBEsol structure",
  "dos_ef_per_ev_cell": 0.000,
  "space_group": "P2_1/m (11)",
  "magnetic_moment_mub_per_fu": 0.0,
  "total_energy_ev_per_atom": -13.318,
  "cell": [[5.124, 0.000, 0.000], [0.000, 8.982, 0.000], [-2.260, 0.000, 10.676]],
  "species": ["Li", "Li", "Li", "Li", "Bi", "Bi", "P", "P", "P", "P", "P", "P", "O", "O", "O", "O", "O", "O", "O", "O", "O", "O", "O", "O", "O", "O", "O", "O", "O", "O", "O", "O"],
  "frac_coords": [[0.153, 0.083, 0.454], [0.153, 0.417, 0.454], [0.847, 0.583, 0.546], [0.847, 0.917, 0.546], [0.500, 0.000, 0.000], [0.500, 0.500, 0.000], [0.019, 0.250, 0.035], [0.327, 0.750, 0.490], [0.346, 0.750, 0.210], [0.654, 0.250, 0.790], [0.673, 0.250, 0.510], [0.981, 0.750, 0.965], [0.061, 0.750, 0.116], [0.086, 0.608, 0.917], [0.086, 0.892, 0.917], [0.200, 0.608, 0.524], [0.200, 0.892, 0.524], [0.247, 0.750, 0.335], [0.329, 0.250, 0.055], [0.370, 0.250, 0.474], [0.491, 0.607, 0.192], [0.491, 0.893, 0.192], [0.509, 0.107, 0.808], [0.509, 0.393, 0.808], [0.630, 0.750, 0.526], [0.671, 0.750, 0.945], [0.753, 0.250, 0.665], [0.800, 0.108, 0.476], [0.800, 0.392, 0.476], [0.914, 0.108, 0.083], [0.914, 0.392, 0.083], [0.939, 0.250, 0.884]]
}



{
  "formula": "TiSiTc2B",
  "functional": "meta-GGA SCAN",
  "state": "single point on PBEsol structure",
  "dos_ef_per_ev_cell": 2.123,
  "space_group": "P4/mmm (123)",
  "magnetic_moment_mub_per_fu": 0.0,
  "total_energy_ev_per_atom": -19.969,
  "cell": [[4.444, 0.000, 0.000], [0.000, 4.444, 0.000], [0.000, 0.000, 3.617]],
  "species": ["Ti", "Si", "Tc", "Tc", "B"],
  "frac_coords": [[0.000, 0.000, 0.000], [0.500, 0.500, 0.500], [0.000, 0.500, 0.500], [0.500, 0.000, 0.500], [0.500, 0.500, 0.000]]
}



{
  "formula": "BiCSeN2",
  "functional": "meta-GGA SCAN",
  "state": "single point on PBEsol structure",
  "dos_ef_per_ev_cell": 2.455,
  "space_group": "P4/mmm (123)",
  "magnetic_moment_mub_per_fu": 3.7,
  "total_energy_ev_per_atom": -22.531,
  "cell": [[4.219, 0.000, 0.000], [0.000, 4.219, 0.000], [0.000, 0.000, 5.810]],
  "species": ["Bi", "C", "Se", "N", "N"],
  "frac_coords": [[0.000, 0.000, 0.000], [0.500, 0.500, 0.500], [0.000, 0.000, 0.500], [0.000, 0.500, 0.000], [0.500, 0.000, 0.000]]
}



{
  "formula": "LiReTc2",
  "functional": "meta-GGA SCAN",
  "state": "single point on PBEsol structure",
  "relative_energy_mev_per_atom": 212.4,
  "dos_ef_per_ev_cell": 3.864,
  "space_group": "Cmmm (65)",
  "magnetic_moment_mub_per_fu": 0.0,
  "e_form_ev_per_atom": 0.314,
  "cell": [[2.599, -3.995, 0.000], [2.599, 3.995, 0.000], [0.000, 0.000, 2.645]],
  "species": ["Li", "Re", "Tc", "Tc"],
  "frac_coords": [[0.000, 0.000, 0.000], [0.500, 0.500, 0.000], [0.000, 0.500, 0.500], [0.500, 0.000, 0.500]]
}



{
  "formula": "BeGaC2",
  "functional": "meta-GGA SCAN",
  "state": "single point on PBEsol structure",
  "dos_ef_per_ev_cell": 1.792,
  "space_group": "Fm-3m (225)",
  "magnetic_moment_mub_per_fu": 0.0,
  "e_form_ev_per_atom": 1.932,
  "cell": [[0.000, 2.617, 2.617], [2.617, 0.000, 2.617], [2.617, 2.617, 0.000]],
  "species": ["Be", "Ga", "C", "C"],
  "frac_coords": [[0.000, 0.000, 0.000], [0.500, 0.500, 0.500], [0.250, 0.250, 0.250], [0.750, 0.750, 0.750]]
}



{
  "formula": "SrTlOs2",
  "functional": "meta-GGA SCAN",
  "state": "single point on PBEsol structure",
  "relative_energy_mev_per_atom": 19.7,
  "dos_ef_per_ev_cell": 5.276,
  "space_group": "P2/m (10)",
  "magnetic_moment_mub_per_fu": 0.0,
  "e_form_ev_per_atom": 1.029,
  "cell": [[2.900, 0.000, 0.000], [0.000, 4.915, 0.000], [-0.686, 0.000, 5.751]],
  "species": ["Sr", "Tl", "Os", "Os"],
  "frac_coords": [[0.000, 0.000, 0.000], [0.500, 0.000, 0.500], [0.302, 0.500, 0.687], [0.698, 0.500, 0.313]]
}



{
  "formula": "InFeSb",
  "functional": "meta-GGA SCAN",
  "state": "single point on PBEsol structure",
  "relative_energy_mev_per_atom": 0.0,
  "dos_ef_per_ev_cell": 0.859,
  "space_group": "F-43m (216)",
  "magnetic_moment_mub_per_fu": 2.2,
  "cell": [[0.000, 3.079, 3.079], [3.079, 0.000, 3.079], [3.079, 3.079, 0.000]],
  "species": ["In", "Fe", "Sb"],
  "frac_coords": [[0.000, 0.000, 0.000], [0.750, 0.750, 0.750], [0.500, 0.500, 0.500]]
}



{
  "formula": "CaEu3",
  "functional": "meta-GGA SCAN",
  "state": "single point on PBEsol structure",
  "dos_ef_per_ev_cell": 5.721,
  "space_group": "I4/mmm (139)",
  "magnetic_moment_mub_per_fu": 24.0,
  "e_form_ev_per_atom": 0.041,
  "cell": [[-2.648, 2.648, 5.618], [2.648, -2.648, 5.618], [2.648, 2.648, -5.618]],
  "species": ["Ca", "Eu", "Eu", "Eu"],
  "frac_coords": [[0.000, 0.000, 0.000], [0.250, 0.750, 0.500], [0.500, 0.500, 0.000], [0.750, 0.250, 0.500]]
}



{
  "formula": "LuCl3",
  "functional": "meta-GGA SCAN",
  "state": "single point on PBEsol structure",
  "dos_ef_per_ev_cell": 0.000,
  "space_group": "P6_3/mmc (194)",
  "magnetic_moment_mub_per_fu": 0.0,
  "total_energy_ev_per_atom": -22.225,
  "cell": [[9.523, 0.000, 0.000], [-4.761, 8.247, 0.000], [0.000, 0.000, 3.440]],
  "species": ["Lu", "Lu", "Cl", "Cl", "Cl", "Cl", "Cl", "Cl"],
  "frac_coords": [[0.333, 0.667, 0.250], [0.667, 0.333, 0.750], [0.217, 0.434, 0.750], [0.217, 0.783, 0.750], [0.434, 0.217, 0.250], [0.566, 0.783, 0.750], [0.783, 0.217, 0.250], [0.783, 0.566, 0.250]]
}



{
  "formula": "Ba2CoIr",
  "functional": "meta-GGA SCAN",
  "state": "single point on PBEsol structure",
  "relative_energy_mev_per_atom": 456.5,
  "dos_ef_per_ev_cell": 1.228,
  "space_group": "Fm-3m (225)",
  "magnetic_moment_mub_per_fu": 2.1,
  "e_form_ev_per_atom": 0.361,
  "cell": [[0.000, 3.730, 3.730], [3.730, 0.000, 3.730], [3.730, 3.730, 0.000]],
  "species": ["Ba", "Ba", "Co", "Ir"],
  "frac_coords": [[0.250, 0.250, 0.250], [0.750, 0.750, 0.750], [0.000, 0.000, 0.000], [0.500, 0.500, 0.500]]
}